Arrangement A

Material: KRe2Br
Method: DFT, PBE
State: optimized geometry

- magnetization (μB per cell) = 4.03
- theoretical density (g/cm³) = 8.10
- N(E_F) (states/eV/atom) = 0.564

Lattice parameters (Å, degrees): 3.7857 3.7857 14.0509 90.00 90.00 90.00
Space group I4/mmm (No. 139)
Symmetry-distinct sites (fractional):
K (0.0000, 0.0000, 0.0000) (multiplicity 2)
Re (0.0000, 0.5000, 0.2500) (multiplicity 4)
Br (0.0000, 0.0000, 0.5000) (multiplicity 2)



Arrangement B

Material: KRe2Br
Method: DFT, PBE
State: optimized geometry

- magnetization (μB per cell) = 0.00
- theoretical density (g/cm³) = 8.42
- N(E_F) (states/eV/atom) = 0.652

Lattice parameters (Å, degrees): 5.3092 14.2092 2.5682 90.00 90.00 90.00
Space group Cmmm (No. 65)
Symmetry-distinct sites (fractional):
K (0.0000, 0.0000, 0.0000) (multiplicity 2)
Re (0.2500, 0.2500, 0.5000) (multiplicity 4)
Br (0.0000, 0.5000, 0.0000) (multiplicity 2)



Most stable: arrangement A. Least stable: arrangement B.



Arrangement A

Material: KRe2Br
Method: DFT, PBE
State: optimized geometry

- magnetization (μB per cell) = 0.00
- theoretical density (g/cm³) = 7.63

Lattice parameters (Å, degrees): 6.4512 3.7265 8.9027 90.00 90.01 90.00
Space group Cm (No. 8)
Symmetry-distinct sites (fractional):
K (0.0000, 0.0000, 0.0000) (multiplicity 2)
Re (0.1656, 0.5000, 0.3297) (multiplicity 2)
Re (0.3323, 0.0000, 0.4523) (multiplicity 2)
Br (0.3332, 0.0000, 0.7389) (multiplicity 2)



Arrangement B

Material: KRe2Br
Method: DFT, PBE
State: optimized geometry

- magnetization (μB per cell) = 4.15
- theoretical density (g/cm³) = 8.36
- N(E_F) (states/eV/atom) = 0.853

Lattice parameters (Å, degrees): 5.5236 14.7482 2.7649 90.00 119.97 90.00
Space group C2/m (No. 12)
Symmetry-distinct sites (fractional):
K (0.0000, 0.0000, 0.0000) (multiplicity 2)
Re (0.2500, 0.2500, 0.0000) (multiplicity 4)
Br (0.0000, 0.5000, 0.0000) (multiplicity 2)



Arrangement C

Material: KRe2Br
Method: DFT, PBE
State: optimized geometry

- magnetization (μB per cell) = 0.00
- theoretical density (g/cm³) = 8.46
- N(E_F) (states/eV/atom) = 0.981

Lattice parameters (Å, degrees): 3.4573 3.4573 8.0745 90.00 90.00 90.00
Space group P4/mmm (No. 123)
Symmetry-distinct sites (fractional):
K (0.0000, 0.0000, 0.0000) (multiplicity 1)
Re (0.5000, 0.5000, 0.3526) (multiplicity 2)
Br (0.0000, 0.0000, 0.5000) (multiplicity 1)



Most stable: arrangement A. Least stable: arrangement C.



Arrangement A

Material: KRe2Br
Method: DFT, PBE
State: optimized geometry

- magnetization (μB per cell) = 0.03
- theoretical density (g/cm³) = 10.89
- N(E_F) (states/eV/atom) = 0.905

Lattice parameters (Å, degrees): 6.6921 6.6921 6.6921 90.00 90.00 90.00
Space group F-43m (No. 216)
Symmetry-distinct sites (fractional):
K (0.0000, 0.0000, 0.0000) (multiplicity 4)
Re (0.0000, 0.0000, 0.5000) (multiplicity 4)
Re (0.2500, 0.2500, 0.2500) (multiplicity 4)
Br (0.2500, 0.2500, 0.7500) (multiplicity 4)



Arrangement B

Material: KRe2Br
Method: DFT, PBE
State: optimized geometry

- magnetization (μB per cell) = 0.00
- theoretical density (g/cm³) = 10.61
- N(E_F) (states/eV/atom) = 1.019

Lattice parameters (Å, degrees): 2.9268 2.9268 31.0996 90.00 90.00 120.00
Space group R-3m (No. 166, hexagonal axes)
Symmetry-distinct sites (fractional):
K (0.0000, 0.0000, 0.0000) (multiplicity 3)
Re (0.0000, 0.0000, 0.2363) (multiplicity 6)
Br (0.0000, 0.0000, 0.5000) (multiplicity 3)



Most stable: arrangement B. Least stable: arrangement A.